1.
KZnSi2Te6: relaxed, PBE.

Raw formation energy = -0.182 eV per atom
Total magnetic moment = 0.00 μB/f.u.
Energy = -3.389 eV per atom

```
data_KZnSi2Te6
_cell_length_a 15.571
_cell_length_b 13.557
_cell_length_c 7.980
_cell_angle_alpha 90.00
_cell_angle_beta 118.68
_cell_angle_gamma 90.00
_space_group_name_H-M_alt 'C 1 2/c 1'
_space_group_IT_number 15
_space_group_name_Hall '-C 2yc'
loop_
_atom_site_label
_atom_site_fract_x
_atom_site_fract_y
_atom_site_fract_z
K1 0.000 0.201 0.250
Zn1 0.000 0.198 0.750
Si1 0.214 0.425 0.809
Te1 0.102 0.048 0.008
Te2 0.127 0.466 0.447
Te3 0.161 0.245 0.741
```

2.
CsNa3Sr: relaxed, PBE.

E_form = 460 meV/atom
Total magnetic moment = 0.00 μB/f.u.
Energy = -0.839 eV per atom
Relative energy among the computed polymorphs = 152 meV/atom

```
data_CsNa3Sr
_cell_length_a 6.691
_cell_length_b 6.691
_cell_length_c 6.691
_cell_angle_alpha 90.00
_cell_angle_beta 90.00
_cell_angle_gamma 90.00
_space_group_name_H-M_alt 'P m -3 m'
_space_group_IT_number 221
_space_group_name_Hall '-P 4 2 3'
loop_
_atom_site_label
_atom_site_fract_x
_atom_site_fract_y
_atom_site_fract_z
Cs1 0.000 0.000 0.000
Na1 0.000 0.000 0.500
Sr1 0.500 0.500 0.500
```

3.
TcHgBr4: relaxed, PBE.

Raw formation energy = 0.976 eV per atom
Total magnetic moment = 3.37 μB/f.u.
Energy = -1.917 eV per atom
Relative energy among the computed polymorphs = 1380 meV/atom

```
data_TcHgBr4
_cell_length_a 8.929
_cell_length_b 8.929
_cell_length_c 8.929
_cell_angle_alpha 90.00
_cell_angle_beta 90.00
_cell_angle_gamma 90.00
_space_group_name_H-M_alt 'F -4 3 m'
_space_group_IT_number 216
_space_group_name_Hall 'F -4 2 3'
loop_
_atom_site_label
_atom_site_fract_x
_atom_site_fract_y
_atom_site_fract_z
Tc1 0.000 0.000 0.000
Hg1 0.250 0.250 0.250
Br1 0.125 0.125 0.625
```

4.
Cd2SnHgI: relaxed, PBE.

Raw formation energy = -0.036 eV per atom
Total magnetic moment = 0.00 μB/f.u.
Energy = -1.573 eV per atom

```
data_Cd2SnHgI
_cell_length_a 5.649
_cell_length_b 5.649
_cell_length_c 5.624
_cell_angle_alpha 90.00
_cell_angle_beta 90.00
_cell_angle_gamma 90.00
_space_group_name_H-M_alt 'P 4/m m m'
_space_group_IT_number 123
_space_group_name_Hall '-P 4 2'
loop_
_atom_site_label
_atom_site_fract_x
_atom_site_fract_y
_atom_site_fract_z
Cd1 0.000 0.500 0.000
Sn1 0.000 0.000 0.000
Hg1 0.000 0.000 0.500
I1 0.500 0.500 0.500
```

5.
Ti2As2Au: relaxed, PBE.

E_form = -525 meV/atom
Total magnetic moment = 0.00 μB/f.u.
Energy = -6.198 eV per atom
Relative energy among the computed polymorphs = 0 meV/atom

```
data_Ti2As2Au
_cell_length_a 7.185
_cell_length_b 7.185
_cell_length_c 3.303
_cell_angle_alpha 90.00
_cell_angle_beta 90.00
_cell_angle_gamma 90.00
_space_group_name_H-M_alt 'P 4/m b m'
_space_group_IT_number 127
_space_group_name_Hall '-P 4 2ab'
loop_
_atom_site_label
_atom_site_fract_x
_atom_site_fract_y
_atom_site_fract_z
Ti1 0.145 0.355 0.000
As1 0.148 0.648 0.500
Au1 0.000 0.000 0.500
```

6.
BaSrMo2: relaxed, PBE.

E_form = 1392 meV/atom
Total magnetic moment = 0.00 μB/f.u.
Energy = -4.924 eV per atom
Relative energy among the computed polymorphs = 862 meV/atom

```
data_BaSrMo2
_cell_length_a 4.196
_cell_length_b 4.216
_cell_length_c 11.017
_cell_angle_alpha 90.00
_cell_angle_beta 90.00
_cell_angle_gamma 90.00
_space_group_name_H-M_alt 'I m m m'
_space_group_IT_number 71
_space_group_name_Hall '-I 2 2'
loop_
_atom_site_label
_atom_site_fract_x
_atom_site_fract_y
_atom_site_fract_z
Ba1 0.000 0.000 0.000
Sr1 0.000 0.000 0.500
Mo1 0.000 0.500 0.250
```

7.
InFe2Ni2: relaxed, PBE.

E_form = 162 meV/atom
Total magnetic moment = 6.50 μB/f.u.
Energy = -6.083 eV per atom

```
data_InFe2Ni2
_cell_length_a 7.127
_cell_length_b 7.127
_cell_length_c 2.678
_cell_angle_alpha 90.00
_cell_angle_beta 90.00
_cell_angle_gamma 90.00
_space_group_name_H-M_alt 'P 4/m b m'
_space_group_IT_number 127
_space_group_name_Hall '-P 4 2ab'
loop_
_atom_site_label
_atom_site_fract_x
_atom_site_fract_y
_atom_site_fract_z
In1 0.000 0.000 0.000
Fe1 0.117 0.383 0.000
Ni1 0.174 0.674 0.500
```

8.
Ca2TaGa3Ir4: relaxed, PBE.

E_form = -565 meV/atom
Total magnetic moment = 0.00 μB/f.u.
Energy = -6.603 eV per atom

```
data_Ca2TaGa3Ir4
_cell_length_a 4.191
_cell_length_b 4.191
_cell_length_c 10.868
_cell_angle_alpha 90.00
_cell_angle_beta 90.00
_cell_angle_gamma 90.00
_space_group_name_H-M_alt 'P -4 m 2'
_space_group_IT_number 115
_space_group_name_Hall 'P -4 -2'
loop_
_atom_site_label
_atom_site_fract_x
_atom_site_fract_y
_atom_site_fract_z
Ca1 0.000 0.500 0.226
Ta1 0.000 0.000 0.500
Ga1 0.000 0.500 0.873
Ga2 0.500 0.500 0.500
Ir1 0.000 0.000 0.000
Ir2 0.000 0.500 0.638
Ir3 0.500 0.500 0.000
```

9.
Ti2Al5V2: relaxed, PBE.

E_form = -247 meV/atom
Total magnetic moment = 0.00 μB/f.u.
Energy = -6.107 eV per atom

```
data_Ti2Al5V2
_cell_length_a 12.141
_cell_length_b 3.655
_cell_length_c 6.664
_cell_angle_alpha 90.00
_cell_angle_beta 110.42
_cell_angle_gamma 90.00
_space_group_name_H-M_alt 'C 1 2/m 1'
_space_group_IT_number 12
_space_group_name_Hall '-C 2y'
loop_
_atom_site_label
_atom_site_fract_x
_atom_site_fract_y
_atom_site_fract_z
Ti1 0.107 0.000 0.156
Al1 0.000 0.000 0.500
Al2 0.167 0.500 0.498
Al3 0.221 0.000 0.842
V1 0.058 0.500 0.817
```

10.
Tl2Pt2Pb: relaxed, PBE.

E_form = 79 meV/atom
Total magnetic moment = 0.00 μB/f.u.
Energy = -4.025 eV per atom
Relative energy among the computed polymorphs = 60 meV/atom

```
data_Tl2Pt2Pb
_cell_length_a 3.814
_cell_length_b 3.814
_cell_length_c 17.387
_cell_angle_alpha 90.00
_cell_angle_beta 90.00
_cell_angle_gamma 90.00
_space_group_name_H-M_alt 'I 4/m m m'
_space_group_IT_number 139
_space_group_name_Hall '-I 4 2'
loop_
_atom_site_label
_atom_site_fract_x
_atom_site_fract_y
_atom_site_fract_z
Tl1 0.000 0.000 0.124
Pt1 0.000 0.500 0.250
Pb1 0.000 0.000 0.500
```

11.
MgTe2Au: relaxed, PBE.

Raw formation energy = -0.247 eV per atom
Total magnetic moment = 0.00 μB/f.u.
Energy = -3.036 eV per atom

```
data_MgTe2Au
_cell_length_a 6.397
_cell_length_b 8.207
_cell_length_c 4.819
_cell_angle_alpha 90.00
_cell_angle_beta 122.22
_cell_angle_gamma 90.00
_space_group_name_H-M_alt 'C 1 2/m 1'
_space_group_IT_number 12
_space_group_name_Hall '-C 2y'
loop_
_atom_site_label
_atom_site_fract_x
_atom_site_fract_y
_atom_site_fract_z
Mg1 0.000 0.000 0.000
Te1 0.250 0.250 0.500
Au1 0.000 0.500 0.000
```

12.
TlZn6Au12: relaxed, PBE.

E_form = -94 meV/atom
Total magnetic moment = 0.00 μB/f.u.
Energy = -2.690 eV per atom

```
data_TlZn6Au12
_cell_length_a 12.1735
_cell_length_b 12.1735
_cell_length_c 8.4399
_cell_angle_alpha 90.00
_cell_angle_beta 90.00
_cell_angle_gamma 120.00
_space_group_name_H-M_alt 'R -3 m'
_space_group_IT_number 166
_space_group_name_Hall '-R 3 2"'
loop_
_atom_site_label
_atom_site_fract_x
_atom_site_fract_y
_atom_site_fract_z
Tl1 0.0000 0.0000 0.0000
Zn1 0.0608 0.5304 0.2424
Au1 0.0000 0.3807 0.5000
Au2 0.0812 0.1624 0.2926
```

- Look up the energy of the twelfth one.
  -2.690 eV per atom

- What is the energy in the third record?
  -1.917 eV per atom